[1]
The following is a PBE calculation of crystalline SmDyTmSn at its relaxed geometry, from Alexandria.

Lattice parameters (Å, degrees): 7.6624 7.6624 7.6624 90.00 90.00 90.00
Space group F-43m (No. 216)
Inequivalent atoms, fractional coordinates:
Sm: 0.0000 0.0000 0.0000 (multiplicity 4)
Dy: 0.0000 0.0000 0.5000 (multiplicity 4)
Tm: 0.2500 0.2500 0.7500 (multiplicity 4)
Sn: 0.2500 0.2500 0.2500 (multiplicity 4)

V (Å³ per atom): 28.1
Total energy (eV per formula unit): -18.77
Calculated density (g/cm3): 8.87
Formation energy from the elements (eV/atom): -0.244
D(E_F) (states/eV per cell): 27.7

***

[2]
The following is a PBE calculation of crystalline ErB2Os2 at its relaxed geometry, from Alexandria.

Lattice parameters (Å, degrees): 4.0244 4.0244 9.2734 90.00 90.00 90.00
Space group I4/mmm (No. 139)
Inequivalent atoms, fractional coordinates:
Er: 0.0000 0.0000 0.0000 (multiplicity 2)
B: 0.0000 0.0000 0.3232 (multiplicity 4)
Os: 0.0000 0.5000 0.2500 (multiplicity 4)

V (Å³ per atom): 15.0
Total energy (eV per formula unit): -42.29
Calculated density (g/cm3): 12.59
Formation energy from the elements (eV/atom): -0.382
D(E_F) (states/eV per cell): 3.8